[1]
{
  "formula": "TlCdAgHg2",
  "functional": "PBE",
  "state": "optimized geometry",
  "dos_ef_per_ev_atom": 0.4036,
  "delta_e_f_ev_per_atom": 0.161,
  "lattice_angstrom": [[5.4162, 0.0000, 0.0000], [0.0000, 5.4162, 0.0000], [0.0000, 0.0000, 5.3647]],
  "species": ["Ag", "Tl", "Hg", "Hg", "Cd"],
  "frac_coords": [[0.0000, 0.0000, 0.0000], [0.5000, 0.5000, 0.5000], [0.5000, 0.0000, 0.0000], [0.0000, 0.5000, 0.0000], [0.0000, 0.0000, 0.5000]]
}

=====

[2]
{
  "formula": "Tm4CdAg2Hg",
  "functional": "PBE",
  "state": "optimized geometry",
  "dos_ef_per_ev_atom": 0.7874,
  "delta_e_f_ev_per_atom": -0.363,
  "lattice_angstrom": [[5.1444, 0.0000, 0.0000], [2.5722, 4.4552, 0.0000], [2.5722, 1.4851, 8.3881]],
  "species": ["Ag", "Ag", "Tm", "Tm", "Tm", "Tm", "Cd", "Hg"],
  "frac_coords": [[0.2532, 0.2532, 0.2403], [0.7468, 0.7468, 0.7597], [0.3763, 0.3763, 0.8710], [0.8738, 0.8738, 0.3786], [0.6237, 0.6237, 0.1290], [0.1262, 0.1262, 0.6214], [0.0000, 0.0000, 0.0000], [0.5000, 0.5000, 0.5000]]
}

=====

[3]
{
  "formula": "TmCd2Ag2Hg2",
  "functional": "PBE",
  "state": "optimized geometry",
  "dos_ef_per_ev_atom": 0.4335,
  "delta_e_f_ev_per_atom": -0.160,
  "lattice_angstrom": [[-2.9627, -0.2145, -3.7976], [-3.4679, -3.3452, -0.1660], [-7.1416, 3.8154, 2.2955]],
  "species": ["Hg", "Hg", "Ag", "Ag", "Cd", "Cd", "Tm"],
  "frac_coords": [[0.3926, 0.3926, 0.8222], [0.6074, 0.6074, 0.1778], [0.7456, 0.7456, 0.7633], [0.2544, 0.2544, 0.2367], [0.8662, 0.8662, 0.4014], [0.1338, 0.1338, 0.5986], [0.0000, 0.0000, 0.0000]]
}

=====

[4]
{
  "formula": "Zn2Cd2Ag5Hg",
  "functional": "PBE",
  "state": "optimized geometry",
  "dos_ef_per_ev_atom": 0.1876,
  "delta_e_f_ev_per_atom": 0.026,
  "lattice_angstrom": [[4.2077, 0.0000, 0.0000], [0.0000, 9.5158, 0.0000], [0.0000, 0.0000, 9.5158]],
  "species": ["Ag", "Ag", "Ag", "Ag", "Ag", "Ag", "Ag", "Ag", "Ag", "Ag", "Zn", "Zn", "Zn", "Zn", "Cd", "Cd", "Cd", "Cd", "Hg", "Hg"],
  "frac_coords": [[0.5000, 0.7988, 0.9184], [0.5000, 0.5000, 0.0000], [0.5000, 0.2988, 0.5816], [0.5000, 0.4184, 0.2988], [0.5000, 0.2012, 0.0816], [0.5000, 0.7012, 0.4184], [0.5000, 0.9184, 0.2012], [0.5000, 0.0000, 0.5000], [0.5000, 0.5816, 0.7012], [0.5000, 0.0816, 0.7988], [0.0000, 0.8782, 0.3782], [0.0000, 0.3782, 0.1218], [0.0000, 0.1218, 0.6218], [0.0000, 0.6218, 0.8782], [0.0000, 0.6732, 0.1732], [0.0000, 0.3268, 0.8268], [0.0000, 0.8268, 0.6732], [0.0000, 0.1732, 0.3268], [0.0000, 0.0000, 0.0000], [0.0000, 0.5000, 0.5000]]
}